Entry 1:
First-principles (GGA-PBE) data for a geometry-optimized SrTa2Sb structure, as listed in Alexandria.

Cell lengths 5.8267, 5.8267, 3.0262 Å; angles 90.00, 90.00, 116.30 degrees
Sites, in units of the cell vectors:
Ta 0.5000 0.5000 0.0000
Ta 0.0000 0.0000 0.0000
Sr 0.0000 0.5000 0.5000
Sb 0.5000 0.0000 0.5000

Results
SG: Cmmm, No. 65
size of the total moment: 0.00 Bohr magnetons per cell
formation energy (no corrections): 0.8403 eV/atom
raw total energy: -6.5371 eV per atom

Entry 2:
First-principles (GGA-PBE) data for a geometry-optimized SrTa2Sb structure, as listed in Alexandria.

Cell lengths 4.3166, 3.5330, 7.1096 Å; angles 75.63, 90.00, 90.00 degrees
Sites, in units of the cell vectors:
Sb 0.0000 0.3314 0.4624
Sr 0.5000 0.7065 0.7123
Ta 0.0000 0.9956 0.1335
Ta 0.5000 0.4664 0.1918

Results
SG: Amm2, No. 38
size of the total moment: 0.00 Bohr magnetons per cell
formation energy (no corrections): 0.1999 eV/atom
raw total energy: -7.1775 eV per atom

Entry 3:
First-principles (GGA-PBE) data for a geometry-optimized SrTaSb3 structure, as listed in Alexandria.

Cell lengths 5.7122, 5.7122, 5.7122 Å; angles 90.00, 90.00, 90.00 degrees
Site moments in Bohr magnetons follow the coordinates.
Sites, in units of the cell vectors:
Sb 0.0000 0.5000 0.0000  0.01
Ta 0.5000 0.5000 0.5000  -0.24
Sr 0.0000 0.0000 0.0000  -0.01
Sb 0.0000 0.0000 0.5000  -0.02
Sb 0.5000 0.0000 0.0000  0.03

Results
ΔE to the lowest computed polymorph: 1.924 eV/atom
SG: Pm-3m, No. 221
size of the total moment: 0.31 Bohr magnetons per cell
formation energy (no corrections): 1.8241 eV/atom
raw total energy: -3.3562 eV per atom

Entry 4:
First-principles (GGA-PBE) data for a geometry-optimized SrTaSb2 structure, as listed in Alexandria.

Cell lengths 5.1903, 5.1903, 3.7842 Å; angles 90.00, 90.00, 90.00 degrees
Site moments in Bohr magnetons follow the coordinates.
Sites, in units of the cell vectors:
Sb 0.5000 0.5000 0.0000  -0.02
Sb 0.0000 0.0000 0.0000  -0.02
Ta 0.0000 0.5000 0.5000  0.52
Sr 0.5000 0.0000 0.5000  0.03

Results
ΔE to the lowest computed polymorph: 0.501 eV/atom
SG: P4/mmm, No. 123
size of the total moment: 0.82 Bohr magnetons per cell
formation energy (no corrections): 0.1946 eV/atom
raw total energy: -5.2503 eV per atom

Entry 5:
First-principles (GGA-PBE) data for a geometry-optimized SrTa2Sb structure, as listed in Alexandria.

Cell lengths 5.4632, 5.4632, 5.7313 Å; angles 79.13, 79.13, 36.37 degrees
Sites, in units of the cell vectors:
Sr 0.2500 0.2500 0.2500
Ta 0.0197 0.0197 0.9190
Sb 0.7500 0.7500 0.7500
Ta 0.4803 0.4803 0.5810

Results
SG: C2/m, No. 12
size of the total moment: 0.00 Bohr magnetons per cell
formation energy (no corrections): 0.4823 eV/atom
raw total energy: -6.8950 eV per atom

Entry 6:
First-principles (GGA-PBE) data for a geometry-optimized SrTaSb2 structure, as listed in Alexandria.

Cell lengths 8.0842, 8.0842, 6.8831 Å; angles 54.04, 54.04, 90.00 degrees
Site moments in Bohr magnetons follow the coordinates.
Sites, in units of the cell vectors:
Ta 0.7500 0.2500 0.5000  0.65
Ta 0.0000 0.0000 0.0000  0.65
Sr 0.5000 0.5000 0.0000  0.01
Sr 0.2500 0.7500 0.5000  0.01
Sb 0.8750 0.9301 0.7500  -0.03
Sb 0.6801 0.1250 0.2500  -0.03
Sb 0.3750 0.3199 0.7500  -0.03
Sb 0.0699 0.6250 0.2500  -0.03

Results
ΔE to the lowest computed polymorph: 0.305 eV/atom
SG: I-42d, No. 122
size of the total moment: 1.92 Bohr magnetons per cell
formation energy (no corrections): -0.0011 eV/atom
raw total energy: -5.4459 eV per atom